An optimized crystal structure of HoAsSe. Source: Alexandria via LeMat-Bulk, functional PBE.

Structure (POSCAR):
```
HoAsSe
1.0
3.898 0.000 0.000
0.000 3.939 0.000
0.000 0.000 17.473
As Se Ho
4 4 4
Cartesian
2.924 1.130 0.033 As
0.975 3.100 8.704 As
2.924 0.839 8.770 As
0.975 2.809 17.441 As
0.975 0.936 12.019 Se
0.975 1.034 3.283 Se
2.924 3.003 5.454 Se
2.924 2.905 14.191 Se
2.924 2.896 11.178 Ho
0.975 0.926 15.033 Ho
0.975 1.043 6.296 Ho
2.924 3.013 2.441 Ho
```

Results
Uncorrected formation energy in eV/atom: -1.4328
SG: Pnma, No. 62
Theoretical density in Mg/m³: 7.9

***

An optimized crystal structure of Ho4AsSe3. Source: Alexandria via LeMat-Bulk, functional PBE.

Structure (POSCAR):
```
Ho4AsSe3
1.0
5.745 0.000 0.000
0.000 5.745 0.000
0.000 0.000 5.745
As Ho Se
1 4 3
Cartesian
0.000 0.000 0.000 As
2.872 0.000 0.000 Ho
0.000 2.872 0.000 Ho
0.000 0.000 2.872 Ho
2.872 2.872 2.872 Ho
2.872 2.872 0.000 Se
0.000 2.872 2.872 Se
2.872 0.000 2.872 Se
```

Results
Uncorrected formation energy in eV/atom: -1.7194
SG: Pm-3m, No. 221
Theoretical density in Mg/m³: 8.5

***

An optimized crystal structure of HoAsSe. Source: Alexandria via LeMat-Bulk, functional PBE.

Structure (POSCAR):
```
HoAsSe
1.0
3.897 0.000 0.000
0.000 3.897 0.000
-1.948 -1.948 8.798
As Ho Se
2 2 2
Cartesian
0.000 1.948 0.000 As
1.948 0.000 0.000 As
1.948 1.948 2.457 Ho
0.000 0.000 6.341 Ho
0.000 0.000 3.313 Se
1.948 1.948 5.485 Se
```

Results
Uncorrected formation energy in eV/atom: -1.3964
SG: I4/mmm, No. 139
Theoretical density in Mg/m³: 7.9

***

An optimized crystal structure of Ho5As4Se. Source: Alexandria via LeMat-Bulk, functional PBE.

Structure (POSCAR):
```
Ho5As4Se
1.0
1.217 -4.305 3.668
-0.496 -6.466 -2.861
6.837 -1.864 0.105
Ho Se As
5 1 4
Cartesian
1.223 -4.653 -1.295 Ho
0.610 -2.157 1.838 Ho
6.339 -7.990 2.215 Ho
3.533 -5.069 2.012 Ho
4.029 -7.574 -1.092 Ho
0.001 -0.005 0.004 Se
2.882 -2.892 0.221 As
1.784 -6.841 0.513 As
5.778 -5.802 0.407 As
4.680 -9.751 0.699 As
```

Results
Uncorrected formation energy in eV/atom: -1.6229
SG: I4/m, No. 87
Theoretical density in Mg/m³: 8.2